BaNaHg: optimized geometry, PBE.

a = 4.4617 Å, b = 5.3863 Å, c = 5.3863 Å
α = 120.00°, β = 90.00°, γ = 90.00°
Positions (direct):
Ba 0.6670 0.6667 0.3333
Hg 0.1651 0.0000 0.0000
Na 0.1679 0.3333 0.6667

Values from the calculation:
Polymorph energy (0 for the lowest one) ... 0.062 eV per atom
E_form ... -0.274 eV/atom
Space group ... P3m1 (156)

TlInBr: optimized geometry, PBE.

a = 3.7812 Å, b = 3.7812 Å, c = 7.5591 Å
α = 90.00°, β = 90.00°, γ = 120.00°
Positions (direct):
Tl 0.3333 0.6667 0.6744
Br 0.0000 0.0000 0.0201
In 0.6667 0.3333 0.3055

Values from the calculation:
Polymorph energy (0 for the lowest one) ... 0.002 eV per atom
Formation energy without anion corrections ... -0.33 eV per atom
Space group ... P3m1 (156)

PPd3Pb: optimized geometry, PBE.

a = 6.1267 Å, b = 6.6166 Å, c = 6.5426 Å
α = 120.37°, β = 117.92°, γ = 90.00°
Positions (direct):
Pd 0.8106 0.3106 0.1211
Pd 0.2500 0.2556 0.5000
Pd 0.7500 0.7444 0.5000
Pd 0.1895 0.6895 0.8789
Pd 0.6895 0.6895 0.8790
Pd 0.3106 0.3106 0.1212
Pb 0.7500 0.2054 0.5000
Pb 0.2500 0.7946 0.5000
P 0.0000 0.0000 0.0000
P 0.5000 0.4999 0.0000

Values from the calculation:
Polymorph energy (0 for the lowest one) ... 0.017 eV per atom
E_form ... -0.348 eV/atom
Space group ... Imma (74)

Tc2BiSe: optimized geometry, PBE.

a = 4.6225 Å, b = 4.6225 Å, c = 4.6225 Å
α = 60.00°, β = 60.00°, γ = 60.00°
Positions (direct):
Se 0.0000 0.0000 0.0000
Tc 0.7500 0.7500 0.7500
Tc 0.2500 0.2500 0.2500
Bi 0.5000 0.5000 0.5000

Values from the calculation:
Polymorph energy (0 for the lowest one) ... 0.000 eV per atom
Formation energy without anion corrections ... 0.53 eV per atom
Space group ... Fm-3m (225)

Na8SnHg3: optimized geometry, PBE.

a = 6.7066 Å, b = 8.3304 Å, c = 10.6027 Å
α = 48.55°, β = 93.65°, γ = 116.30°
Positions (direct):
Na 0.3705 0.5778 0.7781
Na 0.0754 0.0000 0.6156
Na 0.7742 0.3648 0.9820
Na 0.3016 0.0000 0.3554
Na 0.2803 0.0000 0.9268
Na 0.7927 0.4222 0.3558
Na 0.7579 0.0000 0.8671
Na 0.4094 0.6352 0.3467
Sn 0.9763 0.0000 0.1434
Hg 0.7620 0.5158 0.6101
Hg 0.7536 0.0000 0.3932
Hg 0.2462 0.4842 0.1259

Values from the calculation:
E_form ... -0.125 eV/atom
Space group ... Cm (8)

La3CdO: optimized geometry, PBE.

a = 14.5411 Å, b = 9.5056 Å, c = 9.5056 Å
α = 106.27°, β = 134.06°, γ = 45.94°
Positions (direct):
Cd 0.2500 0.7469 0.2469
Cd 0.2500 0.4175 0.9175
Cd 0.7500 0.5825 0.0825
Cd 0.7500 0.2531 0.7531
La 0.1359 0.8886 0.8501
La 0.1303 0.2024 0.2212
La 0.3697 0.7212 0.7024
La 0.5116 0.0859 0.8273
La 0.4884 0.9141 0.1727
La 0.9884 0.3273 0.5859
La 0.8697 0.7976 0.7788
La 0.6359 0.6499 0.6115
La 0.0116 0.6727 0.4141
La 0.3641 0.3501 0.3886
La 0.6303 0.2788 0.2976
La 0.8641 0.1114 0.1499
O 0.2545 0.9625 0.8316
O 0.7455 0.0375 0.1684
O 0.2455 0.3316 0.4625
O 0.7545 0.6684 0.5375

Values from the calculation:
Polymorph energy (0 for the lowest one) ... 0.115 eV per atom
Formation energy without anion corrections ... -1.19 eV per atom
Space group ... C2/c (15)

Nd8CuRu3Br4: optimized geometry, PBE.

a = 8.2014 Å, b = 9.2026 Å, c = 8.2023 Å
α = 116.50°, β = 120.00°, γ = 90.00°
Positions (direct):
Br 0.5000 0.0000 0.0000
Br 0.0000 0.0000 0.0000
Br 0.0000 0.0000 0.5000
Br 0.5000 0.0000 0.5000
Ru 0.0000 0.5000 0.5000
Ru 0.5000 0.5000 0.0000
Ru 0.5000 0.5000 0.5000
Nd 0.7621 0.3036 0.0411
Nd 0.2379 0.6966 0.4758
Nd 0.7210 0.6964 0.9589
Nd 0.2790 0.3036 0.0411
Nd 0.2379 0.6964 0.9589
Nd 0.7621 0.3034 0.5242
Nd 0.7339 0.7012 0.4678
Nd 0.2661 0.2988 0.5322
Cu 0.0000 0.5000 0.0000

Values from the calculation:
Formation energy without anion corrections ... -0.78 eV per atom
Space group ... R-3m (166)

Pr12TlSn4N3: optimized geometry, PBE.

a = 9.0935 Å, b = 9.0935 Å, c = 9.0935 Å
α = 109.47°, β = 109.47°, γ = 109.47°
Positions (direct):
Pr 0.5000 0.7500 0.2500
Pr 0.2500 0.7500 0.5000
Pr 0.5000 0.2500 0.7500
Pr 0.7500 0.5000 0.2500
Pr 0.7240 0.0000 0.7240
Pr 0.0000 0.7240 0.7240
Pr 0.2760 0.2760 0.0000
Pr 0.0000 0.2760 0.2760
Pr 0.7500 0.2500 0.5000
Pr 0.2760 0.0000 0.2760
Pr 0.7240 0.7240 0.0000
Pr 0.2500 0.5000 0.7500
Tl 0.0000 0.0000 0.0000
Sn 0.0000 0.0000 0.5000
Sn 0.5000 0.5000 0.5000
Sn 0.5000 0.0000 0.0000
Sn 0.0000 0.5000 0.0000
N 0.0000 0.5000 0.5000
N 0.5000 0.5000 0.0000
N 0.5000 0.0000 0.5000

Values from the calculation:
Formation energy without anion corrections ... -0.63 eV per atom
Space group ... Im-3m (229)

Pr2Sb3AsRh4: optimized geometry, PBE.

a = 4.4951 Å, b = 4.4951 Å, c = 10.4429 Å
α = 90.00°, β = 90.00°, γ = 90.00°
Positions (direct):
Sb 0.0000 0.5000 0.1359
Sb 0.5000 0.0000 0.8641
Sb 0.0000 0.0000 0.5000
As 0.5000 0.5000 0.5000
Pr 0.0000 0.5000 0.7445
Pr 0.5000 0.0000 0.2555
Rh 0.5000 0.5000 0.0000
Rh 0.0000 0.0000 0.0000
Rh 0.5000 0.0000 0.6168
Rh 0.0000 0.5000 0.3832

Values from the calculation:
Formation energy without anion corrections ... -0.83 eV per atom
Space group ... P-4m2 (115)

CdAsRu2: optimized geometry, PBE.

a = 3.0473 Å, b = 3.0473 Å, c = 6.7292 Å
α = 90.00°, β = 90.00°, γ = 90.00°
Positions (direct):
Ru 0.0000 0.0000 0.0407
Ru 0.0000 0.0000 0.4593
As 0.5000 0.5000 0.2500
Cd 0.5000 0.5000 0.7500

Values from the calculation:
Polymorph energy (0 for the lowest one) ... 0.000 eV per atom
E_form ... 0.069 eV/atom
Space group ... P4/mmm (123)

Mg2MnCr: optimized geometry, PBE.

a = 2.9632 Å, b = 4.1277 Å, c = 5.8947 Å
α = 90.00°, β = 90.00°, γ = 90.00°
Each line ends with the local moment (μB).
Positions (direct):
Cr 0.5000 0.5000 0.7464  3.29
Mg 0.5000 0.5000 0.2698  -0.03
Mg 0.0000 0.0000 0.9816  -0.02
Mn 0.0000 0.0000 0.5023  3.52

Values from the calculation:
Polymorph energy (0 for the lowest one) ... 0.332 eV per atom
E_form ... 0.494 eV/atom
Space group ... Pmm2 (25)

Ta3Tc4Mo: optimized geometry, PBE.

a = 3.1739 Å, b = 4.4825 Å, c = 8.9757 Å
α = 90.00°, β = 90.00°, γ = 90.00°
Positions (direct):
Mo 0.5000 0.5000 0.0000
Ta 0.5000 0.0000 0.7526
Ta 0.5000 0.5000 0.5000
Ta 0.5000 0.0000 0.2474
Tc 0.0000 0.0000 0.5000
Tc 0.0000 0.0000 0.0000
Tc 0.0000 0.5000 0.7522
Tc 0.0000 0.5000 0.2478

Values from the calculation:
E_form ... -0.348 eV/atom
Space group ... Pmmm (47)

CoGeHPt2: optimized geometry, PBE.

a = 3.9746 Å, b = 3.9746 Å, c = 3.7840 Å
α = 90.00°, β = 90.00°, γ = 90.00°
Positions (direct):
Pt 0.5000 0.0000 0.0000
Pt 0.0000 0.5000 0.0000
Co 0.0000 0.0000 0.5000
H 0.0000 0.0000 0.0000
Ge 0.5000 0.5000 0.5000

Values from the calculation:
VASP energy ... -5.4605 eV/atom
Space group ... P4/mmm (123)

CdPW2: optimized geometry, PBE.

a = 3.1467 Å, b = 3.1467 Å, c = 6.9214 Å
α = 90.00°, β = 90.00°, γ = 90.00°
Positions (direct):
W 0.5000 0.5000 0.2098
W 0.0000 0.0000 0.9762
Cd 0.0000 0.0000 0.5027
P 0.5000 0.5000 0.8112

Values from the calculation:
Polymorph energy (0 for the lowest one) ... 0.000 eV per atom
E_form ... 0.253 eV/atom
Space group ... P4mm (99)

MgHgAs2O6: optimized geometry, PBE.

a = 7.1028 Å, b = 6.8872 Å, c = 6.8872 Å
α = 77.39°, β = 69.36°, γ = 69.36°
Positions (direct):
Mg 0.7500 0.7378 0.2622
Mg 0.2500 0.2622 0.7378
O 0.9197 0.3742 0.8111
O 0.2854 0.2195 0.0341
O 0.0803 0.6258 0.1889
O 0.6708 0.7043 0.6037
O 0.7854 0.0341 0.2195
O 0.4197 0.8111 0.3742
O 0.1708 0.6037 0.7043
O 0.7146 0.7805 0.9659
O 0.2146 0.9659 0.7805
O 0.8292 0.3963 0.2957
O 0.5803 0.1889 0.6258
O 0.3292 0.2957 0.3963
As 0.6409 0.2569 0.3537
As 0.1409 0.3537 0.2569
As 0.8591 0.6463 0.7431
As 0.3591 0.7431 0.6463
Hg 0.7500 0.1330 0.8670
Hg 0.2500 0.8670 0.1330

Values from the calculation:
Formation energy without anion corrections ... -1.23 eV per atom
Space group ... C2/c (15)

LiCd2HgH: optimized geometry, PBE.

a = 4.7273 Å, b = 4.7273 Å, c = 3.8668 Å
α = 90.00°, β = 90.00°, γ = 90.00°
Positions (direct):
Hg 0.5000 0.5000 0.5000
Li 0.0000 0.0000 0.5000
H 0.0000 0.0000 0.0000
Cd 0.0000 0.5000 0.0000
Cd 0.5000 0.0000 0.0000

Values from the calculation:
VASP energy ... -1.4890 eV/atom
Space group ... P4/mmm (123)

RbHg3Pd: optimized geometry, PBE.

a = 7.7299 Å, b = 7.7299 Å, c = 5.9523 Å
α = 90.00°, β = 90.00°, γ = 117.44°
Positions (direct):
Pd 0.8277 0.1723 0.7500
Pd 0.1723 0.8277 0.2500
Rb 0.4188 0.5812 0.2500
Rb 0.5812 0.4188 0.7500
Hg 0.1015 0.5477 0.7500
Hg 0.4523 0.8985 0.7500
Hg 0.5477 0.1015 0.2500
Hg 0.8985 0.4523 0.2500
Hg 0.0000 0.0000 0.0000
Hg 0.0000 0.0000 0.5000

Values from the calculation:
Polymorph energy (0 for the lowest one) ... 0.188 eV per atom
E_form ... -0.068 eV/atom
Space group ... Cmcm (63)

Al3TlCu: optimized geometry, PBE.

a = 4.7168 Å, b = 4.7168 Å, c = 4.7168 Å
α = 90.00°, β = 90.00°, γ = 90.00°
Positions (direct):
Tl 0.5000 0.5000 0.5000
Cu 0.0000 0.0000 0.0000
Al 0.0000 0.5000 0.0000
Al 0.5000 0.0000 0.0000
Al 0.0000 0.0000 0.5000

Values from the calculation:
Polymorph energy (0 for the lowest one) ... 0.000 eV per atom
E_form ... 0.246 eV/atom
Space group ... Pm-3m (221)

Cs2Np2CdTe6: optimized geometry, PBE.

a = 7.6830 Å, b = 7.6830 Å, c = 9.5158 Å
α = 97.55°, β = 97.55°, γ = 120.12°
Each line ends with the local moment (μB).
Positions (direct):
Te 0.0621 0.4000 0.6864  -0.13
Te 0.2802 0.2802 0.3135  -0.13
Te 0.7198 0.7198 0.6865  -0.13
Te 0.9379 0.6000 0.3136  -0.13
Te 0.4000 0.0621 0.6864  -0.13
Te 0.6000 0.9379 0.3136  -0.13
Np 0.6670 0.3330 0.5000  3.56
Np 0.3330 0.6670 0.5000  3.56
Cs 0.1646 0.8354 0.0000  -0.01
Cs 0.8354 0.1646 0.0000  -0.01
Cd 0.0000 0.0000 0.5000  -0.01

Values from the calculation:
Formation energy without anion corrections ... -0.71 eV per atom
Space group ... C2/m (12)

CsMg2InF8: optimized geometry, PBE.

a = 5.4819 Å, b = 5.4819 Å, c = 9.1461 Å
α = 72.56°, β = 72.56°, γ = 60.00°
Positions (direct):
F 0.3724 0.7490 0.8578
F 0.1886 0.1886 0.4343
F 0.8114 0.8114 0.5657
F 0.6276 0.2510 0.1422
F 0.9792 0.6276 0.1422
F 0.2510 0.9792 0.1422
F 0.7490 0.0208 0.8578
F 0.0208 0.3724 0.8578
Mg 0.2597 0.2597 0.2208
Mg 0.7403 0.7403 0.7792
Cs 0.5000 0.5000 0.5000
In 0.0000 0.0000 0.0000

Values from the calculation:
Formation energy without anion corrections ... -2.99 eV per atom
Space group ... R-3 (148)